[1]
Compound: CsTlCu2Br6
Source: the Alexandria database
Functional: GGA-PBE
Structure: relaxed

Computed properties:
spin magnetization = 0.00 μB/atom
formation energy (no corrections) = -0.6675 eV/atom
calculated total energy = -56.2 eV for the cell shown

Cell: 9.531 9.531 9.870 Å, 103.88 103.88 103.11°
Fractional coordinates of all 20 atoms:
Cs 0.141 0.859 0.750
Cs 0.859 0.141 0.250
Tl 0.457 0.543 0.250
Tl 0.543 0.457 0.750
Cu 0.091 0.368 0.696
Cu 0.368 0.091 0.196
Cu 0.632 0.909 0.804
Cu 0.909 0.632 0.304
Br 0.123 0.560 0.350
Br 0.189 0.194 0.096
Br 0.194 0.189 0.596
Br 0.273 0.559 0.899
Br 0.440 0.877 0.150
Br 0.441 0.727 0.601
Br 0.559 0.273 0.399
Br 0.560 0.123 0.850
Br 0.727 0.441 0.101
Br 0.806 0.811 0.404
Br 0.811 0.806 0.904
Br 0.877 0.440 0.650

=====

[2]
Compound: SrTe2Au
Source: the Alexandria database
Functional: GGA-PBE
Structure: relaxed

Computed properties:
spin magnetization = 0.00 μB/atom
formation energy (no corrections) = -0.5943 eV/atom
calculated total energy = -27.2 eV for the cell shown

Cell: 6.869 7.515 4.317 Å, 90.00 90.00 90.00°
Fractional coordinates of all 8 atoms:
Sr 0.000 0.000 0.000
Sr 0.500 0.500 0.000
Te 0.250 0.250 0.500
Te 0.250 0.750 0.500
Te 0.750 0.250 0.500
Te 0.750 0.750 0.500
Au 0.000 0.500 0.000
Au 0.500 0.000 0.000

=====

[3]
Compound: Sn2Sb2Se
Source: the Alexandria database
Functional: GGA-PBE
Structure: relaxed

Computed properties:
spin magnetization = 0.00 μB/atom
formation energy (no corrections) = 0.1914 eV/atom
polymorph energy (0 for the lowest one) = 0.142 eV per atom
calculated total energy = -37.6 eV for the cell shown

Cell: 4.267 4.267 15.562 Å, 90.00 90.00 90.00°
Fractional coordinates of all 10 atoms:
Sn 0.000 0.500 0.250
Sn 0.000 0.500 0.750
Sn 0.500 0.000 0.250
Sn 0.500 0.000 0.750
Sb 0.000 0.000 0.095
Sb 0.000 0.000 0.905
Sb 0.500 0.500 0.405
Sb 0.500 0.500 0.595
Se 0.000 0.000 0.500
Se 0.500 0.500 0.000